# SCAN In2NiH, PBEsol geometry
# Uncorrected energy, eV per atom: -21.180
# V, Å³/cell: 58.85
# Theoretical density, g/cm3: 8.2
# SG: Fm-3m
data_In2NiH
_space_group_name_H-M_alt 'P 1'
_space_group_IT_number 1
_cell_length_a 4.3661
_cell_length_b 4.3661
_cell_length_c 4.3661
_cell_angle_alpha 60.00
_cell_angle_beta 60.00
_cell_angle_gamma 60.00
loop_
_space_group_symop_operation_xyz
'x,y,z'
loop_
_atom_site_label
_atom_site_fract_x
_atom_site_fract_y
_atom_site_fract_z
In1 0.2500 0.2500 0.2500
In2 0.7500 0.7500 0.7500
Ni1 0.0000 0.0000 0.0000
H1 0.5000 0.5000 0.5000

=====

# SCAN InH3O3, PBEsol geometry
# V, Å³/cell: 246.26
# Theoretical density, g/cm3: 4.5
# SG: R-3
# ΔE to the lowest computed polymorph, meV/atom: 0
data_InH3O3
_space_group_name_H-M_alt 'P 1'
_space_group_IT_number 1
_cell_length_a 6.8255
_cell_length_b 6.8255
_cell_length_c 6.8255
_cell_angle_alpha 109.31
_cell_angle_beta 109.31
_cell_angle_gamma 109.31
loop_
_space_group_symop_operation_xyz
'x,y,z'
loop_
_atom_site_label
_atom_site_fract_x
_atom_site_fract_y
_atom_site_fract_z
In1 0.0000 0.0000 0.0000
In2 0.0000 0.5000 0.5000
In3 0.5000 0.0000 0.5000
In4 0.5000 0.5000 0.0000
H1 0.0411 0.8702 0.3271
H2 0.1298 0.6729 0.9589
H3 0.1825 0.2182 0.5368
H4 0.2182 0.5368 0.1825
H5 0.3271 0.0411 0.8702
H6 0.4632 0.8175 0.7818
H7 0.5368 0.1825 0.2182
H8 0.6729 0.9589 0.1298
H9 0.7818 0.4632 0.8175
H10 0.8175 0.7818 0.4632
H11 0.8702 0.3271 0.0411
H12 0.9589 0.1298 0.6729
O1 0.0081 0.3367 0.1693
O2 0.1693 0.0081 0.3367
O3 0.1741 0.3402 0.6655
O4 0.3345 0.8259 0.6598
O5 0.3367 0.1693 0.0081
O6 0.3402 0.6655 0.1741
O7 0.6598 0.3345 0.8259
O8 0.6633 0.8307 0.9919
O9 0.6655 0.1741 0.3402
O10 0.8259 0.6598 0.3345
O11 0.8307 0.9919 0.6633
O12 0.9919 0.6633 0.8307

=====

# SCAN InH3O3, PBEsol geometry
# V, Å³/cell: 249.25
# Theoretical density, g/cm3: 4.4
# SG: P1
# ΔE to the lowest computed polymorph, meV/atom: 47
data_InH3O3
_space_group_name_H-M_alt 'P 1'
_space_group_IT_number 1
_cell_length_a 6.8347
_cell_length_b 6.8646
_cell_length_c 6.8734
_cell_angle_alpha 109.81
_cell_angle_beta 111.01
_cell_angle_gamma 107.19
loop_
_space_group_symop_operation_xyz
'x,y,z'
loop_
_atom_site_label
_atom_site_fract_x
_atom_site_fract_y
_atom_site_fract_z
In1 0.0000 0.0000 0.0000
In2 0.0064 0.5017 0.5152
In3 0.5073 0.5038 0.0141
In4 0.5221 0.0013 0.5189
H1 0.1140 0.8267 0.4251
H2 0.1843 0.4571 0.1444
H3 0.3033 0.8417 0.9768
H4 0.3046 0.2623 0.4709
H5 0.3674 0.0456 0.8363
H6 0.4701 0.6348 0.6805
H7 0.6550 0.9686 0.1956
H8 0.7018 0.6769 0.4910
H9 0.7179 0.1780 0.0572
H10 0.8229 0.5082 0.8355
H11 0.9714 0.6550 0.1305
H12 0.9751 0.3224 0.7967
O1 0.1627 0.7064 0.3704
O2 0.1736 0.3363 0.0062
O3 0.1773 0.8451 0.8436
O4 0.2748 0.1082 0.3470
O5 0.3434 0.5016 0.6757
O6 0.4988 0.1727 0.8441
O7 0.5192 0.8428 0.1839
O8 0.6754 0.8323 0.6783
O9 0.7267 0.5707 0.3599
O10 0.8372 0.6414 0.9857
O11 0.8418 0.3280 0.6697
O12 0.8453 0.1721 0.1867

=====

# SCAN RbInPHO5, PBEsol geometry
# Uncorrected energy, eV per atom: -13.154
# V, Å³/cell: 990.15
# Theoretical density, g/cm3: 4.2
# SG: P4_32_12
data_RbInPHO5
_space_group_name_H-M_alt 'P 1'
_space_group_IT_number 1
_cell_length_a 9.3787
_cell_length_b 9.3787
_cell_length_c 11.2568
_cell_angle_alpha 90.00
_cell_angle_beta 90.00
_cell_angle_gamma 90.00
loop_
_space_group_symop_operation_xyz
'x,y,z'
loop_
_atom_site_label
_atom_site_fract_x
_atom_site_fract_y
_atom_site_fract_z
Rb1 0.0188 0.3162 0.4587
Rb2 0.1838 0.5188 0.2087
Rb3 0.3162 0.0188 0.5413
Rb4 0.4812 0.8162 0.2913
Rb5 0.5188 0.1838 0.7913
Rb6 0.6838 0.9812 0.0413
Rb7 0.8162 0.4812 0.7087
Rb8 0.9812 0.6838 0.9587
In1 0.0939 0.9061 0.2500
In2 0.1543 0.1543 0.0000
In3 0.3457 0.6543 0.7500
In4 0.4061 0.4061 0.5000
In5 0.5939 0.5939 0.0000
In6 0.6543 0.3457 0.2500
In7 0.8457 0.8457 0.5000
In8 0.9061 0.0939 0.7500
P1 0.1579 0.6860 0.4956
P2 0.1860 0.3421 0.7456
P3 0.3140 0.8421 0.0044
P4 0.3421 0.1860 0.2544
P5 0.6579 0.8140 0.7544
P6 0.6860 0.1579 0.5044
P7 0.8140 0.6579 0.2456
P8 0.8421 0.3140 0.9956
H1 0.0599 0.8767 0.6487
H2 0.1233 0.9401 0.8513
H3 0.3767 0.4401 0.8987
H4 0.4401 0.3767 0.1013
H5 0.5599 0.6233 0.6013
H6 0.6233 0.5599 0.3987
H7 0.8767 0.0599 0.3513
H8 0.9401 0.1233 0.1487
O1 0.0055 0.3314 0.0071
O2 0.0106 0.0510 0.1234
O3 0.0383 0.2780 0.7181
O4 0.0510 0.0106 0.8766
O5 0.1686 0.5055 0.7571
O6 0.1983 0.7885 0.3920
O7 0.2115 0.8017 0.1080
O8 0.2196 0.7530 0.6118
O9 0.2220 0.5383 0.4681
O10 0.2470 0.7804 0.8882
O11 0.2530 0.2804 0.8618
O12 0.2780 0.0383 0.2819
O13 0.2804 0.2530 0.1382
O14 0.2885 0.3017 0.6420
O15 0.3017 0.2885 0.3580
O16 0.3314 0.0055 0.9929
O17 0.4490 0.5106 0.8734
O18 0.4617 0.7780 0.0319
O19 0.4894 0.5510 0.6266
O20 0.4945 0.8314 0.7429
O21 0.5055 0.1686 0.2429
O22 0.5106 0.4490 0.1266
O23 0.5383 0.2220 0.5319
O24 0.5510 0.4894 0.3734
O25 0.6686 0.9945 0.4929
O26 0.6983 0.7115 0.8580
O27 0.7115 0.6983 0.1420
O28 0.7196 0.7470 0.6382
O29 0.7220 0.9617 0.7819
O30 0.7470 0.7196 0.3618
O31 0.7530 0.2196 0.3882
O32 0.7780 0.4617 0.9681
O33 0.7804 0.2470 0.1118
O34 0.7885 0.1983 0.6080
O35 0.8017 0.2115 0.8920
O36 0.8314 0.4945 0.2571
O37 0.9490 0.9894 0.3766
O38 0.9617 0.7220 0.2181
O39 0.9894 0.9490 0.6234
O40 0.9945 0.6686 0.5071

=====

# SCAN In2H10S3O17, PBEsol geometry
# Uncorrected energy, eV per atom: -8.779
# V, Å³/cell: 685.55
# Theoretical density, g/cm3: 2.9
# SG: P-1
data_In2H10S3O17
_space_group_name_H-M_alt 'P 1'
_space_group_IT_number 1
_cell_length_a 5.6864
_cell_length_b 10.7850
_cell_length_c 11.4072
_cell_angle_alpha 88.92
_cell_angle_beta 89.03
_cell_angle_gamma 78.58
loop_
_space_group_symop_operation_xyz
'x,y,z'
loop_
_atom_site_label
_atom_site_fract_x
_atom_site_fract_y
_atom_site_fract_z
In1 0.0000 0.0000 0.0000
In2 0.0000 0.0000 0.5000
In3 0.4207 0.3919 0.2527
In4 0.5793 0.6081 0.7473
H1 0.1229 0.6164 0.1651
H2 0.1411 0.6179 0.3117
H3 0.2322 0.6011 0.9336
H4 0.2878 0.5869 0.5543
H5 0.3480 0.9465 0.1612
H6 0.3657 0.8163 0.0916
H7 0.3747 0.4573 0.9000
H8 0.3769 0.4436 0.6039
H9 0.3969 0.9535 0.3646
H10 0.4350 0.8187 0.4381
H11 0.5650 0.1813 0.5619
H12 0.6031 0.0465 0.6354
H13 0.6231 0.5564 0.3961
H14 0.6253 0.5427 0.1000
H15 0.6343 0.1837 0.9084
H16 0.6520 0.0535 0.8388
H17 0.7122 0.4131 0.4457
H18 0.7678 0.3989 0.0664
H19 0.8589 0.3821 0.6883
H20 0.8771 0.3836 0.8349
S1 0.1385 0.2937 0.4904
S2 0.2074 0.2729 0.0072
S3 0.3090 0.9123 0.7468
S4 0.6910 0.0877 0.2532
S5 0.7926 0.7271 0.9928
S6 0.8615 0.7063 0.5096
O1 0.0305 0.6582 0.0330
O2 0.0950 0.6576 0.4513
O3 0.1142 0.9935 0.6796
O4 0.1461 0.3683 0.3800
O5 0.1592 0.1589 0.4589
O6 0.2164 0.5813 0.2365
O7 0.2212 0.8912 0.8675
O8 0.2272 0.2993 0.1338
O9 0.2308 0.1339 0.9931
O10 0.2498 0.8926 0.1207
O11 0.3306 0.9050 0.4291
O12 0.3412 0.3037 0.5673
O13 0.3548 0.5504 0.8795
O14 0.3699 0.7867 0.6892
O15 0.3920 0.5342 0.6139
O16 0.4041 0.3100 0.9367
O17 0.4807 0.0272 0.2507
O18 0.5193 0.9728 0.7493
O19 0.5959 0.6900 0.0633
O20 0.6080 0.4658 0.3861
O21 0.6301 0.2133 0.3108
O22 0.6452 0.4496 0.1205
O23 0.6588 0.6963 0.4327
O24 0.6694 0.0950 0.5709
O25 0.7502 0.1074 0.8793
O26 0.7692 0.8661 0.0069
O27 0.7728 0.7007 0.8662
O28 0.7788 0.1088 0.1325
O29 0.7836 0.4187 0.7635
O30 0.8408 0.8411 0.5411
O31 0.8539 0.6317 0.6200
O32 0.8858 0.0065 0.3204
O33 0.9050 0.3424 0.5487
O34 0.9695 0.3418 0.9670

=====

# SCAN InHSeO4, PBEsol geometry
# Uncorrected energy, eV per atom: -12.965
# V, Å³/cell: 360.32
# Theoretical density, g/cm3: 4.8
# SG: P-1
data_InHSeO4
_space_group_name_H-M_alt 'P 1'
_space_group_IT_number 1
_cell_length_a 5.6455
_cell_length_b 8.0679
_cell_length_c 8.1031
_cell_angle_alpha 87.19
_cell_angle_beta 79.81
_cell_angle_gamma 82.89
loop_
_space_group_symop_operation_xyz
'x,y,z'
loop_
_atom_site_label
_atom_site_fract_x
_atom_site_fract_y
_atom_site_fract_z
In1 0.1106 0.0243 0.1865
In2 0.3046 0.6854 0.4883
In3 0.6954 0.3146 0.5117
In4 0.8894 0.9757 0.8135
H1 0.1670 0.2482 0.3817
H2 0.4762 0.0821 0.6940
H3 0.5238 0.9179 0.3060
H4 0.8330 0.7518 0.6183
Se1 0.1050 0.3514 0.7691
Se2 0.4279 0.7243 0.8894
Se3 0.5721 0.2757 0.1106
Se4 0.8950 0.6486 0.2309
O1 0.0126 0.2246 0.3516
O2 0.1512 0.1482 0.7046
O3 0.1583 0.5718 0.2962
O4 0.1610 0.8600 0.9662
O5 0.3270 0.4342 0.6141
O6 0.3550 0.8896 0.3234
O7 0.3603 0.1836 0.0363
O8 0.4790 0.7797 0.6814
O9 0.5210 0.2203 0.3186
O10 0.6397 0.8164 0.9637
O11 0.6450 0.1104 0.6766
O12 0.6730 0.5658 0.3859
O13 0.8390 0.1400 0.0338
O14 0.8417 0.4282 0.7038
O15 0.8488 0.8518 0.2954
O16 0.9874 0.7754 0.6484

=====

# SCAN In2HOs, PBEsol geometry
# Uncorrected energy, eV per atom: -34.687
# V, Å³/cell: 64.11
# Theoretical density, g/cm3: 10.9
# SG: Fm-3m
data_In2HOs
_space_group_name_H-M_alt 'P 1'
_space_group_IT_number 1
_cell_length_a 4.4924
_cell_length_b 4.4924
_cell_length_c 4.4924
_cell_angle_alpha 60.00
_cell_angle_beta 60.00
_cell_angle_gamma 60.00
loop_
_space_group_symop_operation_xyz
'x,y,z'
loop_
_atom_site_label
_atom_site_fract_x
_atom_site_fract_y
_atom_site_fract_z
In1 0.2500 0.2500 0.2500
In2 0.7500 0.7500 0.7500
H1 0.0000 0.0000 0.0000
Os1 0.5000 0.5000 0.5000

=====

# SCAN InH2Os, PBEsol geometry
# Uncorrected energy, eV per atom: -27.524
# V, Å³/cell: 89.07
# Theoretical density, g/cm3: 11.4
# SG: I4_1/amd
data_InH2Os
_space_group_name_H-M_alt 'P 1'
_space_group_IT_number 1
_cell_length_a 6.4838
_cell_length_b 6.4838
_cell_length_c 6.4838
_cell_angle_alpha 145.04
_cell_angle_beta 145.04
_cell_angle_gamma 50.28
loop_
_space_group_symop_operation_xyz
'x,y,z'
loop_
_atom_site_label
_atom_site_fract_x
_atom_site_fract_y
_atom_site_fract_z
In1 0.3750 0.6250 0.7500
In2 0.6250 0.3750 0.2500
H1 0.0000 0.0000 0.0000
H2 0.0000 0.0000 0.5000
H3 0.0000 0.5000 0.0000
H4 0.5000 0.0000 0.5000
Os1 0.1250 0.8750 0.2500
Os2 0.8750 0.1250 0.7500

=====

# SCAN InH2Pb2, PBEsol geometry
# Uncorrected energy, eV per atom: -37.991
# V, Å³/cell: 93.79
# Theoretical density, g/cm3: 9.4
# SG: I4/mmm
data_InH2Pb2
_space_group_name_H-M_alt 'P 1'
_space_group_IT_number 1
_cell_length_a 7.5730
_cell_length_b 7.5730
_cell_length_c 7.5730
_cell_angle_alpha 152.28
_cell_angle_beta 152.28
_cell_angle_gamma 39.60
loop_
_space_group_symop_operation_xyz
'x,y,z'
loop_
_atom_site_label
_atom_site_fract_x
_atom_site_fract_y
_atom_site_fract_z
In1 0.0000 0.0000 0.0000
H1 0.2500 0.7500 0.5000
H2 0.7500 0.2500 0.5000
Pb1 0.3523 0.3523 0.0000
Pb2 0.6477 0.6477 0.0000

=====

# SCAN InH2Pd, PBEsol geometry
# Uncorrected energy, eV per atom: -17.620
# V, Å³/cell: 43.32
# Theoretical density, g/cm3: 8.6
# SG: Fm-3m
data_InH2Pd
_space_group_name_H-M_alt 'P 1'
_space_group_IT_number 1
_cell_length_a 3.9421
_cell_length_b 3.9421
_cell_length_c 3.9421
_cell_angle_alpha 60.00
_cell_angle_beta 60.00
_cell_angle_gamma 60.00
loop_
_space_group_symop_operation_xyz
'x,y,z'
loop_
_atom_site_label
_atom_site_fract_x
_atom_site_fract_y
_atom_site_fract_z
In1 0.0000 0.0000 0.0000
H1 0.2500 0.2500 0.2500
H2 0.7500 0.7500 0.7500
Pd1 0.5000 0.5000 0.5000

=====

# SCAN InH3Pd, PBEsol geometry
# Uncorrected energy, eV per atom: -15.106
# V, Å³/cell: 50.43
# Theoretical density, g/cm3: 7.4
# SG: Pm-3m
data_InH3Pd
_space_group_name_H-M_alt 'P 1'
_space_group_IT_number 1
_cell_length_a 3.6945
_cell_length_b 3.6945
_cell_length_c 3.6945
_cell_angle_alpha 90.00
_cell_angle_beta 90.00
_cell_angle_gamma 90.00
loop_
_space_group_symop_operation_xyz
'x,y,z'
loop_
_atom_site_label
_atom_site_fract_x
_atom_site_fract_y
_atom_site_fract_z
In1 0.0000 0.0000 0.0000
H1 0.0000 0.5000 0.5000
H2 0.5000 0.0000 0.5000
H3 0.5000 0.5000 0.0000
Pd1 0.5000 0.5000 0.5000

=====

# SCAN InTeHPd2, PBEsol geometry
# Uncorrected energy, eV per atom: -27.879
# V, Å³/cell: 91.62
# Theoretical density, g/cm3: 8.3
# SG: P4/mmm
data_InTeHPd2
_space_group_name_H-M_alt 'P 1'
_space_group_IT_number 1
_cell_length_a 5.0270
_cell_length_b 5.0270
_cell_length_c 3.6256
_cell_angle_alpha 90.00
_cell_angle_beta 90.00
_cell_angle_gamma 90.00
loop_
_space_group_symop_operation_xyz
'x,y,z'
loop_
_atom_site_label
_atom_site_fract_x
_atom_site_fract_y
_atom_site_fract_z
In1 0.0000 0.0000 0.0000
Te1 0.5000 0.5000 0.5000
H1 0.5000 0.5000 0.0000
Pd1 0.0000 0.5000 0.5000
Pd2 0.5000 0.0000 0.5000

=====

# SCAN InHPt2, PBEsol geometry
# V, Å³/cell: 57.30
# Theoretical density, g/cm3: 14.7
# SG: Fm-3m
# ΔE to the lowest computed polymorph, meV/atom: 568
data_InHPt2
_space_group_name_H-M_alt 'P 1'
_space_group_IT_number 1
_cell_length_a 4.3274
_cell_length_b 4.3274
_cell_length_c 4.3274
_cell_angle_alpha 60.00
_cell_angle_beta 60.00
_cell_angle_gamma 60.00
loop_
_space_group_symop_operation_xyz
'x,y,z'
loop_
_atom_site_label
_atom_site_fract_x
_atom_site_fract_y
_atom_site_fract_z
In1 0.0000 0.0000 0.0000
H1 0.5000 0.5000 0.5000
Pt1 0.2500 0.2500 0.2500
Pt2 0.7500 0.7500 0.7500

=====

# SCAN InHPt2, PBEsol geometry
# V, Å³/cell: 107.24
# Theoretical density, g/cm3: 15.7
# SG: I-42d
# ΔE to the lowest computed polymorph, meV/atom: 0
data_InHPt2
_space_group_name_H-M_alt 'P 1'
_space_group_IT_number 1
_cell_length_a 5.1982
_cell_length_b 5.1982
_cell_length_c 5.1982
_cell_angle_alpha 106.58
_cell_angle_beta 106.58
_cell_angle_gamma 115.43
loop_
_space_group_symop_operation_xyz
'x,y,z'
loop_
_atom_site_label
_atom_site_fract_x
_atom_site_fract_y
_atom_site_fract_z
In1 0.0000 0.0000 0.0000
In2 0.7500 0.2500 0.5000
H1 0.2500 0.7500 0.5000
H2 0.5000 0.5000 0.0000
Pt1 0.2327 0.6250 0.1077
Pt2 0.3750 0.4827 0.6077
Pt3 0.5173 0.1250 0.8923
Pt4 0.8750 0.7673 0.3923

=====

# SCAN InTcH2Pt, PBEsol geometry
# Uncorrected energy, eV per atom: -28.446
# V, Å³/cell: 70.77
# Theoretical density, g/cm3: 9.6
# SG: P4/mmm
data_InTcH2Pt
_space_group_name_H-M_alt 'P 1'
_space_group_IT_number 1
_cell_length_a 3.6703
_cell_length_b 3.6703
_cell_length_c 5.2531
_cell_angle_alpha 90.00
_cell_angle_beta 90.00
_cell_angle_gamma 90.00
loop_
_space_group_symop_operation_xyz
'x,y,z'
loop_
_atom_site_label
_atom_site_fract_x
_atom_site_fract_y
_atom_site_fract_z
In1 0.0000 0.0000 0.0000
Tc1 0.5000 0.5000 0.0000
H1 0.0000 0.5000 0.5000
H2 0.5000 0.0000 0.5000
Pt1 0.0000 0.0000 0.5000

=====

# SCAN Rb3InH, PBEsol geometry
# Uncorrected energy, eV per atom: -19.404
# V, Å³/cell: 319.23
# Theoretical density, g/cm3: 1.9
# SG: Pm-3m
data_Rb3InH
_space_group_name_H-M_alt 'P 1'
_space_group_IT_number 1
_cell_length_a 6.8344
_cell_length_b 6.8344
_cell_length_c 6.8344
_cell_angle_alpha 90.00
_cell_angle_beta 90.00
_cell_angle_gamma 90.00
loop_
_space_group_symop_operation_xyz
'x,y,z'
loop_
_atom_site_label
_atom_site_fract_x
_atom_site_fract_y
_atom_site_fract_z
Rb1 0.0000 0.0000 0.5000
Rb2 0.0000 0.5000 0.0000
Rb3 0.5000 0.0000 0.0000
In1 0.0000 0.0000 0.0000
H1 0.5000 0.5000 0.5000

=====

# SCAN InReH3, PBEsol geometry
# Uncorrected energy, eV per atom: -22.459
# V, Å³/cell: 45.63
# Theoretical density, g/cm3: 11.1
# SG: Pm-3m
data_InReH3
_space_group_name_H-M_alt 'P 1'
_space_group_IT_number 1
_cell_length_a 3.5734
_cell_length_b 3.5734
_cell_length_c 3.5734
_cell_angle_alpha 90.00
_cell_angle_beta 90.00
_cell_angle_gamma 90.00
loop_
_space_group_symop_operation_xyz
'x,y,z'
loop_
_atom_site_label
_atom_site_fract_x
_atom_site_fract_y
_atom_site_fract_z
In1 0.0000 0.0000 0.0000
Re1 0.5000 0.5000 0.5000
H1 0.0000 0.5000 0.5000
H2 0.5000 0.0000 0.5000
H3 0.5000 0.5000 0.0000